i | NiAsF2 | the Alexandria database | PBE+U | relaxed; N(E_F) = 2.89 states/eV/cell; size of the total moment = 0.96 μB per formula unit
1.0
0.000 2.977 2.977
2.977 0.000 2.977
2.977 2.977 0.000
Ni As F
1 1 2
Cartesian
0.000 0.000 0.000
2.977 2.977 2.977
1.489 1.489 1.489
4.466 4.466 4.466

---

ii | NiAsF2 | the Alexandria database | PBE+U | relaxed; N(E_F) = 1.88 states/eV/cell; size of the total moment = 2.27 μB per formula unit
1.0
-4.748 -0.400 8.070
-4.704 -3.310 7.399
-2.390 -2.070 8.822
F As Ni
2 1 1
Cartesian
-10.313 -5.034 21.156
-1.528 -0.746 3.135
0.000 0.000 0.000
-5.921 -2.890 12.146

---

iii | NiAsF2 | the Alexandria database | PBE+U | relaxed; N(E_F) = 5.86 states/eV/cell; size of the total moment = 1.32 μB per formula unit
1.0
6.559 0.000 0.000
0.000 6.559 0.000
3.279 3.279 2.689
F Ni As
4 2 2
Cartesian
4.919 5.600 2.017
4.238 1.640 0.672
8.198 7.518 2.017
2.320 4.919 0.672
3.279 6.559 1.345
3.279 3.279 0.000
6.559 3.279 1.345
0.000 0.000 0.000

---

It is ii that is the most stable of them.

---

i | Ni2AsF | the Alexandria database | PBE+U | relaxed; N(E_F) = 2.21 states/eV/cell; size of the total moment = 0.00 μB per formula unit
1.0
0.000 2.840 2.840
2.840 0.000 2.840
2.840 2.840 0.000
As Ni F
1 2 1
Cartesian
2.840 2.840 2.840
1.420 1.420 1.420
4.260 4.260 4.260
0.000 0.000 0.000

---

ii | Ni2AsF | the Alexandria database | PBE+U | relaxed; N(E_F) = 1.43 states/eV/cell; size of the total moment = 1.99 μB per formula unit
1.0
5.920 0.000 0.000
0.000 5.920 0.000
2.960 2.960 3.383
Ni As F
4 2 2
Cartesian
4.440 4.659 2.537
1.699 4.440 0.846
4.221 1.480 0.846
7.400 7.181 2.537
5.920 2.960 1.691
0.000 0.000 0.000
2.960 5.920 1.691
2.960 2.960 0.000

---

It is ii that is the most stable of them.